Entry 1:
Entry from Alexandria via LeMat-Bulk: TbSmHgPd after structural relaxation (GGA-PBE).

Summary:
* total moment: 0.0 μB per formula unit
* formation energy: -0.62 eV per atom
* crystal system: cubic
* symmetry: No. 216
* polymorph energy (0 for the lowest one): 3.73 kJ per mole of atoms

Lattice parameters (Å, degrees): 5.176 5.176 5.176 60.00 60.00 60.00
Fractional coordinates of all 4 atoms:
Tb (0.000, 0.000, 0.000)
Sm (0.500, 0.500, 0.500)
Hg (0.750, 0.750, 0.750)
Pd (0.250, 0.250, 0.250)

***

Entry 2:
Entry from Alexandria via LeMat-Bulk: SmTh8 after structural relaxation (GGA-PBE).

Summary:
* total moment: 0.0 μB per formula unit
* formation energy: 0.03 eV per atom
* crystal system: tetragonal
* symmetry: No. 139
* polymorph energy (0 for the lowest one): 0.00 kJ per mole of atoms

Lattice parameters (Å, degrees): 7.989 7.989 7.989 95.73 95.73 143.16
Fractional coordinates of all 9 atoms:
Sm (0.000, 0.000, 0.000)
Th (0.000, 0.334, 0.334)
Th (0.000, 0.666, 0.666)
Th (0.332, 0.332, 0.664)
Th (0.332, 0.668, 0.000)
Th (0.334, 0.000, 0.334)
Th (0.666, 0.000, 0.666)
Th (0.668, 0.332, 0.000)
Th (0.668, 0.668, 0.336)

***

Entry 3:
Entry from Alexandria via LeMat-Bulk: HoSnPd4 after structural relaxation (GGA-PBE).

Summary:
* total moment: 0.0 μB per formula unit
* formation energy: -0.69 eV per atom
* crystal system: monoclinic
* symmetry: No. 12
* polymorph energy (0 for the lowest one): 0.56 kJ per mole of atoms

Lattice parameters (Å, degrees): 5.157 5.157 6.577 109.29 109.29 41.20
Fractional coordinates of all 6 atoms:
Ho (0.000, 0.000, 0.000)
Sn (0.000, 0.000, 0.500)
Pd (0.330, 0.330, 0.178)
Pd (0.342, 0.342, 0.657)
Pd (0.658, 0.658, 0.343)
Pd (0.670, 0.670, 0.822)

***

Entry 4:
Entry from Alexandria via LeMat-Bulk: Ca3Ho3AgS8 after structural relaxation (GGA-PBE).

Summary:
* total moment: 0.0 μB per formula unit
* crystal system: trigonal
* symmetry: No. 166
* uncorrected formation energy: -1.82 eV per atom

Lattice parameters (Å, degrees): 7.937 7.937 7.937 59.54 59.54 59.54
Fractional coordinates of all 15 atoms:
Ca (0.000, 0.500, 0.500)
Ca (0.500, 0.000, 0.500)
Ca (0.500, 0.500, 0.000)
Ho (0.000, 0.000, 0.500)
Ho (0.000, 0.500, 0.000)
Ho (0.500, 0.000, 0.000)
Ag (0.500, 0.500, 0.500)
S (0.236, 0.752, 0.752)
S (0.247, 0.247, 0.247)
S (0.248, 0.248, 0.764)
S (0.248, 0.764, 0.248)
S (0.752, 0.236, 0.752)
S (0.752, 0.752, 0.236)
S (0.753, 0.753, 0.753)
S (0.764, 0.248, 0.248)

***

Entry 5:
Entry from Alexandria via LeMat-Bulk: Sn2N2O after structural relaxation (GGA-PBE).

Summary:
* total moment: 0.0 μB per formula unit
* crystal system: triclinic
* symmetry: No. 1
* uncorrected formation energy: -0.30 eV per atom

Lattice parameters (Å, degrees): 8.822 8.868 8.876 109.56 109.47 109.21
Fractional coordinates of all 40 atoms:
Sn (0.000, 0.000, 0.000)
Sn (0.000, 0.494, 0.484)
Sn (0.036, 0.281, 0.742)
Sn (0.212, 0.240, 0.457)
Sn (0.245, 0.026, 0.767)
Sn (0.254, 0.523, 0.276)
Sn (0.295, 0.745, 0.024)
Sn (0.469, 0.215, 0.252)
Sn (0.492, 0.492, 0.977)
Sn (0.513, 0.999, 0.489)
Sn (0.531, 0.779, 0.739)
Sn (0.734, 0.254, 0.957)
Sn (0.737, 0.449, 0.702)
Sn (0.749, 0.972, 0.198)
Sn (0.779, 0.733, 0.520)
Sn (0.963, 0.708, 0.238)
N (0.039, 0.772, 0.530)
N (0.235, 0.259, 0.215)
N (0.263, 0.251, 0.721)
N (0.265, 0.495, 0.032)
N (0.276, 0.536, 0.537)
N (0.456, 0.220, 0.499)
N (0.501, 0.725, 0.946)
N (0.537, 0.999, 0.253)
N (0.547, 0.768, 0.493)
N (0.724, 0.494, 0.948)
N (0.729, 0.458, 0.454)
N (0.766, 0.038, 0.983)
N (0.781, 0.227, 0.725)
N (0.955, 0.227, 0.454)
N (0.970, 0.460, 0.218)
N (0.993, 0.945, 0.219)
O (0.046, 0.552, 0.770)
O (0.218, 0.939, 0.969)
O (0.233, 0.777, 0.263)
O (0.453, 0.993, 0.716)
O (0.500, 0.250, 0.033)
O (0.714, 0.707, 0.256)
O (0.778, 0.725, 0.771)
O (0.991, 0.030, 0.767)

***

Entry 6:
Entry from Alexandria via LeMat-Bulk: Cu2SiSnTe4 after structural relaxation (GGA-PBE).

Summary:
* total moment: 0.0 μB per formula unit
* crystal system: orthorhombic
* symmetry: No. 42
* uncorrected formation energy: -0.05 eV per atom

Lattice parameters (Å, degrees): 7.433 7.093 6.564 65.82 60.52 53.66
Fractional coordinates of all 8 atoms:
Cu (0.000, 0.000, 0.500)
Cu (0.500, 0.500, 0.000)
Si (0.251, 0.251, 0.749)
Sn (0.724, 0.724, 0.276)
Te (0.170, 0.626, 0.830)
Te (0.332, 0.908, 0.092)
Te (0.626, 0.170, 0.374)
Te (0.908, 0.332, 0.668)

***

Entry 7:
Entry from Alexandria via LeMat-Bulk: MoW7 after structural relaxation (GGA-PBE).

Summary:
* total moment: 0.0 μB per formula unit
* formation energy: 0.47 eV per atom
* crystal system: cubic
* symmetry: No. 225
* polymorph energy (0 for the lowest one): 46.40 kJ per mole of atoms

Lattice parameters (Å, degrees): 5.708 5.708 5.708 60.00 60.00 60.00
Fractional coordinates of all 8 atoms:
Mo (0.000, 0.000, 0.000)
W (0.000, 0.000, 0.500)
W (0.000, 0.500, 0.000)
W (0.000, 0.500, 0.500)
W (0.500, 0.000, 0.000)
W (0.500, 0.000, 0.500)
W (0.500, 0.500, 0.000)
W (0.500, 0.500, 0.500)

***

Entry 8:
Entry from Alexandria via LeMat-Bulk: LaEr2Pt2 after structural relaxation (GGA-PBE).

Summary:
* total moment: 0.0 μB per formula unit
* formation energy: -1.05 eV per atom
* crystal system: monoclinic
* symmetry: No. 11

Lattice parameters (Å, degrees): 5.415 4.693 10.448 90.00 95.98 90.00
Fractional coordinates of all 10 atoms:
La (0.090, 0.250, 0.279)
La (0.910, 0.750, 0.721)
Er (0.272, 0.750, 0.024)
Er (0.371, 0.250, 0.612)
Er (0.629, 0.750, 0.388)
Er (0.728, 0.250, 0.976)
Pt (0.162, 0.750, 0.476)
Pt (0.206, 0.250, 0.869)
Pt (0.794, 0.750, 0.131)
Pt (0.838, 0.250, 0.524)

***

Entry 9:
Entry from Alexandria via LeMat-Bulk: MgCuTc2 after structural relaxation (GGA-PBE).

Summary:
* total moment: 0.0 μB per formula unit
* formation energy: 0.15 eV per atom
* crystal system: tetragonal
* symmetry: No. 119

Lattice parameters (Å, degrees): 4.350 4.350 4.350 120.51 120.51 89.12
Fractional coordinates of all 4 atoms:
Mg (0.000, 0.000, 0.000)
Cu (0.750, 0.250, 0.500)
Tc (0.250, 0.750, 0.500)
Tc (0.500, 0.500, 0.000)

***

Entry 10:
Entry from Alexandria via LeMat-Bulk: CaNbSi3 after structural relaxation (GGA-PBE).

Summary:
* total moment: 0.0 μB per formula unit
* crystal system: cubic
* symmetry: No. 221
* uncorrected formation energy: 1.84 eV per atom

Lattice parameters (Å, degrees): 4.867 4.867 4.867 90.00 90.00 90.00
Fractional coordinates of all 5 atoms:
Ca (0.000, 0.000, 0.000)
Nb (0.500, 0.500, 0.500)
Si (0.000, 0.000, 0.500)
Si (0.000, 0.500, 0.000)
Si (0.500, 0.000, 0.000)

***

Entry 11:
Entry from Alexandria via LeMat-Bulk: Ti2Te2Ru after structural relaxation (GGA-PBE).

Summary:
* total moment: 0.0 μB per formula unit
* crystal system: tetragonal
* symmetry: No. 127
* uncorrected formation energy: -0.11 eV per atom
* polymorph energy (0 for the lowest one): 0.00 kJ per mole of atoms

Lattice parameters (Å, degrees): 7.323 7.323 3.571 90.00 90.00 90.00
Fractional coordinates of all 10 atoms:
Ti (0.138, 0.362, 0.000)
Ti (0.362, 0.862, 0.000)
Ti (0.638, 0.138, 0.000)
Ti (0.862, 0.638, 0.000)
Te (0.162, 0.662, 0.500)
Te (0.338, 0.162, 0.500)
Te (0.662, 0.838, 0.500)
Te (0.838, 0.338, 0.500)
Ru (0.000, 0.000, 0.500)
Ru (0.500, 0.500, 0.500)

***

Entry 12:
Entry from Alexandria via LeMat-Bulk: PtRh2W after structural relaxation (GGA-PBE).

Summary:
* total moment: 0.0 μB per formula unit
* formation energy: -0.13 eV per atom
* crystal system: monoclinic
* symmetry: No. 8
* polymorph energy (0 for the lowest one): 10.53 kJ per mole of atoms

Lattice parameters (Å, degrees): 4.800 4.800 4.761 99.75 99.75 33.57
Fractional coordinates of all 4 atoms:
Pt (0.000, 0.000, 0.000)
Rh (0.246, 0.246, 0.745)
Rh (0.496, 0.496, 0.496)
W (0.749, 0.749, 0.254)